VASP calculation (GGA-PBE) on a relaxed structure of CrNiBr2.

Lattice parameters (Å, degrees): 4.7228 4.7228 3.3926 90.00 90.00 90.00
Closest atoms and distances in Å follow each position.
Element x y z (fractional)
Br1 0.0000 0.0000 0.0000  4 Cr 2.91, 4 Ni 2.91
Br2 0.5000 0.5000 0.0000  4 Cr 2.91, 4 Ni 2.91
Cr1 0.5000 0.0000 0.5000  8 Br 2.91
Ni1 0.0000 0.5000 0.5000  8 Br 2.91

energy relative to the lowest polymorph listed for this composition = 528 meV per atom
formation energy without anion corrections = 10.0 kcal/mol of atoms
energy = -4.2554 eV/atom
total magnetization = 5.2 Bohr magnetons per cell
mass density = 5.94 Mg/m³
Fermi-level density of states = 1.201 states/eV/atom
crystal system = tetragonal



VASP calculation (GGA-PBE) on a relaxed structure of PW3.

Lattice parameters (Å, degrees): 5.1409 5.1409 5.1409 116.82 116.82 116.82
Closest atoms and distances in Å follow each position.
Element x y z (fractional)
P1 0.0000 0.0000 0.0000  6 W 2.69, 2 P 2.78
W1 0.5000 0.0000 0.5000  6 W 2.69-2.78, 2 P 2.69
W2 0.0000 0.5000 0.5000  6 W 2.69-2.78, 2 P 2.69
W3 0.5000 0.5000 0.0000  2 P 2.69, 6 W 2.69-2.78

energy relative to the lowest polymorph listed for this composition = 511 meV per atom
energy = -10.6867 eV/atom
total magnetization = 0.0 Bohr magnetons per cell
energy relative to the elements = 37 kJ/mol of atoms
mass density = 15.70 Mg/m³
Fermi-level density of states = 0.802 states/eV/atom
crystal system = trigonal



VASP calculation (GGA-PBE) on a relaxed structure of ZrAg2Au.

Lattice parameters (Å, degrees): 5.0395 5.0395 3.0252 90.00 90.00 90.00
Closest atoms and distances in Å follow each position.
Element x y z (fractional)
Ag1 0.0000 0.0000 0.0000  4 Zr 2.94, 4 Au 2.94, 2 Ag 3.03
Ag2 0.5000 0.5000 0.0000  4 Zr 2.94, 4 Au 2.94, 2 Ag 3.03
Au1 0.5000 0.0000 0.5000  8 Ag 2.94, 2 Au 3.03
Zr1 0.0000 0.5000 0.5000  8 Ag 2.94, 2 Zr 3.03

energy relative to the lowest polymorph listed for this composition = 290 meV per atom
energy = -4.2808 eV/atom
total magnetization = 0.0 Bohr magnetons per cell
energy relative to the elements = 10 kJ/mol of atoms
mass density = 10.89 Mg/m³
Fermi-level density of states = 0.718 states/eV/atom
crystal system = tetragonal



VASP calculation (GGA-PBE) on a relaxed structure of Cr2NiSb.

Lattice parameters (Å, degrees): 7.9578 7.9578 7.9578 22.50 22.50 22.50
Closest atoms and distances in Å follow each position.
Element x y z (fractional)
Cr1 0.9903 0.9903 0.9903  3 Ni 2.48
Cr2 0.5097 0.5097 0.5097  3 Ni 2.48
Ni1 0.2500 0.2500 0.2500  6 Cr 2.48
Sb1 0.7500 0.7500 0.7500  6 Cr 2.81, 6 Sb 3.11

formation energy without anion corrections = 13.7 kcal/mol of atoms
energy = -6.6928 eV/atom
total magnetization = 6.1 Bohr magnetons per cell
mass density = 7.29 Mg/m³
Fermi-level density of states = 1.099 states/eV/atom
crystal system = trigonal



VASP calculation (GGA-PBE) on a relaxed structure of Tb2ZnNi.

Lattice parameters (Å, degrees): 4.4336 5.8090 7.4517 114.24 90.00 90.00
Closest atoms and distances in Å follow each position.
Element x y z (fractional)
Tb1 0.7500 0.2406 0.4161  3 Ni 2.77-2.97, 4 Zn 2.97-3.08
Tb2 0.2500 0.7594 0.5839  3 Ni 2.77-2.97, 4 Zn 2.97-3.08
Tb3 0.2500 0.7931 0.0732  3 Zn 2.93-3.02, 4 Ni 2.94-3.09
Tb4 0.7500 0.2069 0.9268  3 Zn 2.93-3.02, 4 Ni 2.94-3.09
Zn1 0.7500 0.6659 0.2922  2 Ni 2.71, 6 Tb 2.93-3.02
Zn2 0.2500 0.3341 0.7078  2 Ni 2.71, 6 Tb 2.93-3.02
Ni1 0.2500 0.3719 0.2104  2 Zn 2.71, 6 Tb 2.77-3.01
Ni2 0.7500 0.6281 0.7896  2 Zn 2.71, 6 Tb 2.77-3.01

energy = -4.4423 eV/atom
total magnetization = 0.0 Bohr magnetons per cell
energy relative to the elements = -35 kJ/mol of atoms
mass density = 8.39 Mg/m³
Fermi-level density of states = 0.818 states/eV/atom
crystal system = monoclinic



VASP calculation (GGA-PBE) on a relaxed structure of SrScRh2.

Lattice parameters (Å, degrees): 3.6370 3.6370 6.7312 90.00 90.00 90.00
Closest atoms and distances in Å follow each position.
Element x y z (fractional)
Rh1 0.0000 0.0000 0.0319  1 Sc 2.40
Rh2 0.5000 0.5000 0.2793  4 Sc 2.67
Sc1 0.0000 0.0000 0.3883  5 Rh 2.40-2.67
Sr1 0.5000 0.5000 0.8004  5 Rh 3.01-3.22

energy relative to the lowest polymorph listed for this composition = 386 meV per atom
energy = -5.8413 eV/atom
total magnetization = 0.0 Bohr magnetons per cell
energy relative to the elements = -16 kJ/mol of atoms
mass density = 6.31 Mg/m³
Fermi-level density of states = 0.925 states/eV/atom
crystal system = tetragonal



VASP calculation (GGA-PBE) on a relaxed structure of AcSmRuRh.

Lattice parameters (Å, degrees): 5.0787 5.0787 5.0787 60.00 60.00 60.00
Closest atoms and distances in Å follow each position.
Element x y z (fractional)
Ru1 0.7500 0.7500 0.7500  4 Ac 3.11, 4 Sm 3.11
Ac1 0.0000 0.0000 0.0000  4 Ru 3.11, 4 Rh 3.11
Rh1 0.2500 0.2500 0.2500  4 Ac 3.11, 4 Sm 3.11
Sm1 0.5000 0.5000 0.5000  4 Rh 3.11, 4 Ru 3.11

energy = -6.6629 eV/atom
total magnetization = 0.0 Bohr magnetons per cell
energy relative to the elements = -29 kJ/mol of atoms
mass density = 10.42 Mg/m³
Fermi-level density of states = 0.638 states/eV/atom
crystal system = cubic



VASP calculation (GGA-PBE) on a relaxed structure of TbDySiSe.

Lattice parameters (Å, degrees): 4.1094 4.1094 7.2122 73.45 73.45 60.00
Closest atoms and distances in Å follow each position.
Element x y z (fractional)
Tb1 0.4486 0.4486 0.6543  3 Si 2.87, 3 Se 2.98
Dy1 0.9397 0.9397 0.1809  3 Si 2.86, 3 Se 2.97
Si1 0.1945 0.1945 0.4165  3 Dy 2.86, 3 Tb 2.87
Se1 0.6937 0.6937 0.9190  3 Dy 2.97, 3 Tb 2.98

formation energy without anion corrections = -30.1 kcal/mol of atoms
energy = -5.8394 eV/atom
total magnetization = 0.0 Bohr magnetons per cell
mass density = 7.14 Mg/m³
Fermi-level density of states = 0.323 states/eV/atom
crystal system = trigonal



VASP calculation (GGA-PBE) on a relaxed structure of TaIn2Tc.

Lattice parameters (Å, degrees): 5.1943 5.1943 4.7910 75.18 75.18 37.12
Closest atoms and distances in Å follow each position.
Element x y z (fractional)
In1 0.0085 0.0085 0.9902  3 Tc 2.87-3.06, 4 In 2.88-2.95, 3 Ta 2.97-3.01
In2 0.4915 0.4915 0.5098  3 Tc 2.87-3.06, 4 In 2.88-2.95, 3 Ta 2.97-3.01
Ta1 0.2500 0.2500 0.2500  4 Tc 2.91, 6 In 2.97-3.01
Tc1 0.7500 0.7500 0.7500  6 In 2.87-3.06, 4 Ta 2.91

energy relative to the lowest polymorph listed for this composition = 218 meV per atom
energy = -6.6275 eV/atom
total magnetization = 0.0 Bohr magnetons per cell
energy relative to the elements = 29 kJ/mol of atoms
mass density = 11.24 Mg/m³
Fermi-level density of states = 0.609 states/eV/atom
crystal system = monoclinic



VASP calculation (GGA-PBE) on a relaxed structure of MgZr3In.

Lattice parameters (Å, degrees): 5.5578 7.1996 8.3562 53.07 109.34 122.62
Closest atoms and distances in Å follow each position.
Element x y z (fractional)
Mg1 0.7494 0.7485 0.4998  2 In 3.08-3.15, 8 Zr 3.12-3.26, 2 Mg 3.13-3.16
Mg2 0.2506 0.2515 0.5002  2 In 3.08-3.15, 8 Zr 3.12-3.26, 2 Mg 3.13-3.16
Zr1 0.9422 0.7432 0.9043  4 In 3.08-3.21, 6 Zr 3.09-3.27, 2 Mg 3.16-3.17
Zr2 0.0578 0.2568 0.0957  4 In 3.08-3.21, 6 Zr 3.09-3.27, 2 Mg 3.16-3.17
Zr3 0.3418 0.7558 0.6824  7 Zr 2.96-3.27, 3 Mg 3.12-3.20, 2 In 3.23-3.27
Zr4 0.6582 0.2442 0.3176  7 Zr 2.96-3.27, 3 Mg 3.12-3.20, 2 In 3.23-3.27
Zr5 0.1347 0.7429 0.2964  6 Zr 3.04-3.26, 3 In 3.14-3.21, 3 Mg 3.17-3.26
Zr6 0.8653 0.2571 0.7036  6 Zr 3.04-3.26, 3 In 3.14-3.21, 3 Mg 3.17-3.26
In1 0.5458 0.7436 0.1018  2 Mg 3.08-3.15, 9 Zr 3.08-3.27, 1 In 3.27
In2 0.4542 0.2564 0.8982  2 Mg 3.08-3.15, 9 Zr 3.08-3.27, 1 In 3.27

energy relative to the lowest polymorph listed for this composition = 0 meV per atom
energy = -6.0742 eV/atom
total magnetization = 0.0 Bohr magnetons per cell
energy relative to the elements = -8 kJ/mol of atoms
mass density = 6.09 Mg/m³
Fermi-level density of states = 0.814 states/eV/atom
crystal system = triclinic



VASP calculation (GGA-PBE) on a relaxed structure of Ta2BeHRu.

Lattice parameters (Å, degrees): 4.0618 4.0618 3.8120 90.00 90.00 90.00
Closest atoms and distances in Å follow each position.
Element x y z (fractional)
Ru1 0.0000 0.0000 0.5000  2 H 1.91
Be1 0.5000 0.5000 0.5000  8 Ta 2.79, 4 Ru 2.87
H1 0.0000 0.0000 0.0000  2 Ru 1.91, 4 Ta 2.03
Ta1 0.0000 0.5000 0.0000  2 H 2.03
Ta2 0.5000 0.0000 0.0000  2 H 2.03

energy relative to the lowest polymorph listed for this composition = 13 meV per atom
energy = -8.0489 eV/atom
total magnetization = 0.0 Bohr magnetons per cell
mass density = 12.49 Mg/m³
Fermi-level density of states = 0.555 states/eV/atom
crystal system = tetragonal



VASP calculation (GGA-PBE) on a relaxed structure of KBa4Pt.

Lattice parameters (Å, degrees): 7.4968 7.4968 7.4968 60.00 60.00 60.00
Closest atoms and distances in Å follow each position.
Element x y z (fractional)
K1 0.7500 0.7500 0.7500  12 Ba 4.40, 4 Pt 4.59
Ba1 0.8808 0.3731 0.3731  6 Ba 3.69-3.81
Ba2 0.3731 0.3731 0.8808  6 Ba 3.69-3.81
Ba3 0.3731 0.8808 0.3731  6 Ba 3.69-3.81
Ba4 0.3731 0.3731 0.3731  6 Ba 3.69-3.81
Pt1 0.0000 0.0000 0.0000  12 Ba 4.39, 4 K 4.59

energy relative to the lowest polymorph listed for this composition = 877 meV per atom
energy = -1.9124 eV/atom
total magnetization = 1.1 Bohr magnetons per cell
energy relative to the elements = 54 kJ/mol of atoms
mass density = 4.37 Mg/m³
Fermi-level density of states = 1.792 states/eV/atom
crystal system = cubic